This record from the Alexandria database describes a geometry-optimized K2Ta2Mo structure. The functional is GGA-PBE.

a b c (Å): 3.7255 3.7255 17.0249
angles (deg): 90.00 90.00 90.00
Space group I4/mmm (No. 139)
Inequivalent atoms, fractional coordinates:
K 0.0000 0.5000 0.2500 (multiplicity 4)
Ta 0.0000 0.0000 0.0711 (multiplicity 4)
Mo 0.0000 0.0000 0.5000 (multiplicity 2)

Properties
ΔE_f	1.484	eV per atom
E	-5.863	eV per atom